Li3TiAl3O8 | Alexandria | PBE | optimized geometry; uncorrected formation energy = -2.71 eV/atom; DOS at the Fermi energy = 0.00 states/eV/atom; energy = -7.0163 eV per atom
1.0
2.864 1.654 4.878
-2.864 1.654 4.878
0.000 -3.307 4.878
Li Ti Al O
3 1 3 8
Cartesian
-1.432 -0.827 4.878
-1.432 0.827 9.755
0.000 1.654 4.878
0.000 0.000 7.316
-2.864 0.000 7.316
-1.432 0.827 2.439
1.432 0.827 2.439
-1.441 -0.832 8.343
0.000 0.000 3.458
0.000 -1.664 6.290
-1.441 0.832 6.290
1.441 -0.832 8.343
0.000 1.664 8.343
0.000 0.000 11.174
1.441 0.832 6.290



Li2TiAl2O6 | Alexandria | PBE | optimized geometry; uncorrected formation energy = -2.74 eV/atom; DOS at the Fermi energy = 0.00 states/eV/atom; energy = -7.1903 eV per atom
1.0
2.498 -4.306 0.000
2.498 4.306 0.000
-1.695 0.000 4.902
Li Ti Al O
2 1 2 6
Cartesian
2.498 2.802 0.000
2.498 -2.802 0.000
-0.847 0.000 2.451
1.651 1.421 2.451
1.651 -1.421 2.451
-0.027 1.499 3.475
0.829 0.000 1.449
-0.027 -1.499 3.475
3.328 1.499 1.427
2.472 0.000 3.453
3.328 -1.499 1.427



Li4TiAl3O8 | Alexandria | PBE | optimized geometry; uncorrected formation energy = -2.63 eV/atom; DOS at the Fermi energy = 0.31 states/eV/atom; energy = -6.7780 eV per atom
1.0
2.883 1.664 4.823
-2.883 1.664 4.823
0.000 -3.329 4.823
Li Ti Al O
4 1 3 8
Cartesian
0.000 0.000 0.000
-1.441 -0.832 4.823
-1.441 0.832 9.645
0.000 1.664 4.823
0.000 0.000 7.234
-2.883 0.000 7.234
-1.441 0.832 2.411
1.441 0.832 2.411
-1.503 -0.868 8.292
0.000 0.000 3.445
0.000 -1.736 6.176
-1.503 0.868 6.176
1.503 -0.868 8.292
0.000 1.736 8.292
0.000 0.000 11.022
1.503 0.868 6.176



LiTiAl2O | Alexandria | PBE | optimized geometry; uncorrected formation energy = -0.32 eV/atom; DOS at the Fermi energy = 0.57 states/eV/atom; energy = -4.7736 eV per atom
1.0
5.338 0.000 0.000
0.000 5.338 0.000
0.000 0.000 3.703
Li Ti Al O
1 1 2 1
Cartesian
0.000 0.000 0.000
2.669 2.669 1.852
0.000 2.669 1.852
2.669 0.000 1.852
2.669 2.669 0.000



LiTi2AlO | Alexandria | PBE | optimized geometry; uncorrected formation energy = -1.19 eV/atom; DOS at the Fermi energy = 0.59 states/eV/atom; energy = -6.4711 eV per atom
1.0
4.103 0.000 0.000
0.000 4.103 0.000
0.000 0.000 3.976
Li Ti Al O
1 2 1 1
Cartesian
0.000 0.000 0.000
0.000 2.051 1.988
2.051 0.000 1.988
2.051 2.051 0.000
0.000 0.000 1.988



LiAl4Tl4O12 | Alexandria | PBE | optimized geometry; excess energy over the best structure of this formula in the dataset = 46.8 meV/atom; uncorrected formation energy = -1.68 eV/atom; DOS at the Fermi energy = 0.15 states/eV/atom; energy = -5.7691 eV per atom
1.0
5.599 0.000 0.000
0.000 7.432 0.000
-0.695 0.000 5.556
Li Al Tl O
1 4 4 12
Cartesian
0.000 0.000 0.000
1.444 1.881 1.319
1.444 5.550 1.319
3.559 1.901 4.576
3.559 5.530 4.576
0.706 3.716 4.089
1.242 0.000 4.019
4.074 3.716 1.675
4.058 0.000 2.057
-0.399 1.444 3.626
-0.399 5.988 3.626
1.141 3.716 1.893
1.528 0.000 1.077
1.847 2.287 5.436
1.847 5.145 5.436
2.602 1.664 2.811
2.602 5.768 2.811
3.210 0.000 4.849
4.000 3.716 4.312
5.217 1.775 0.735
5.217 5.656 0.735



LiAl4Tl4O12 | Alexandria | PBE | optimized geometry; excess energy over the best structure of this formula in the dataset = 37.8 meV/atom; uncorrected formation energy = -1.69 eV/atom; DOS at the Fermi energy = 0.08 states/eV/atom; energy = -5.7781 eV per atom
1.0
5.192 0.000 0.000
0.088 5.421 0.000
0.003 0.855 8.492
Li Al Tl O
1 4 4 12
Cartesian
0.000 0.000 0.000
2.611 1.564 7.645
2.653 1.383 3.815
5.142 4.163 3.823
5.151 4.055 7.588
0.026 1.639 1.879
0.081 1.598 5.627
2.547 4.392 5.805
2.648 4.040 1.465
0.464 3.599 0.915
1.121 5.686 7.071
1.124 2.564 3.797
1.479 5.295 3.988
1.474 2.971 7.076
1.884 0.739 0.943
3.084 1.377 5.594
3.660 5.293 7.862
3.721 2.872 3.179
4.096 5.587 3.148
4.191 2.500 8.002
4.691 4.003 5.600



Li2AlTlO | Alexandria | PBE | optimized geometry; uncorrected formation energy = -0.92 eV/atom; DOS at the Fermi energy = 0.31 states/eV/atom; energy = -3.8991 eV per atom
1.0
4.438 0.000 0.000
0.000 4.438 0.000
0.000 0.000 3.713
Li Al Tl O
2 1 1 1
Cartesian
0.000 2.219 0.000
2.219 0.000 0.000
0.000 0.000 1.856
2.219 2.219 1.856
0.000 0.000 0.000



LiAl4Tl4O12 | Alexandria | PBE | optimized geometry; excess energy over the best structure of this formula in the dataset = 27.1 meV/atom; uncorrected formation energy = -1.70 eV/atom; DOS at the Fermi energy = 0.12 states/eV/atom; energy = -5.7889 eV per atom
1.0
5.275 0.000 0.000
0.329 5.470 0.000
0.294 1.080 8.495
Li Al Tl O
1 4 4 12
Cartesian
0.000 0.000 0.000
0.466 2.015 5.052
0.567 2.107 1.421
2.961 4.575 1.068
3.189 4.834 4.765
0.446 4.689 3.012
0.589 4.556 6.851
3.029 2.017 7.003
3.195 1.929 3.008
1.047 2.180 3.214
1.414 3.610 0.784
1.998 6.072 5.487
1.784 0.845 0.657
2.182 3.377 5.490
2.660 4.894 2.992
4.048 5.626 7.891
4.261 3.278 1.649
4.248 0.827 4.626
4.679 3.674 4.673
4.587 0.706 1.610
5.303 2.292 6.875



Li2AlTlO4 | Alexandria | PBE | optimized geometry; uncorrected formation energy = -1.92 eV/atom; DOS at the Fermi energy = 0.00 states/eV/atom; energy = -5.6396 eV per atom
1.0
-2.339 2.339 4.425
2.339 -2.339 4.425
2.339 2.339 -4.425
Li Al Tl O
2 1 1 4
Cartesian
2.339 0.000 2.213
0.000 2.339 2.213
0.000 0.000 0.000
0.000 0.000 4.425
1.338 -1.338 3.330
1.001 1.001 1.095
-1.338 1.338 3.330
1.338 1.338 5.520



LiAl4Tl4O12 | Alexandria | PBE | optimized geometry; excess energy over the best structure of this formula in the dataset = 0.0 meV/atom; uncorrected formation energy = -1.73 eV/atom; DOS at the Fermi energy = 0.11 states/eV/atom; energy = -5.8159 eV per atom
1.0
5.514 0.000 0.000
0.094 6.162 0.000
1.114 0.816 8.311
Li Al Tl O
1 4 4 12
Cartesian
0.000 0.000 0.000
3.167 2.745 7.316
2.918 3.583 3.903
5.926 4.270 7.232
5.680 5.201 3.727
0.392 2.312 1.865
3.477 5.774 6.294
3.192 5.970 1.701
5.959 2.076 5.254
2.044 4.113 7.957
2.133 1.352 6.579
1.933 4.960 3.264
1.967 2.140 3.495
1.756 0.983 0.597
3.260 3.647 5.650
4.999 2.753 7.491
5.102 5.706 7.883
4.540 3.843 3.154
4.848 6.555 4.670
5.264 6.224 2.091
6.051 4.328 5.428



Li2TmAlO4 | Alexandria | PBE | optimized geometry; uncorrected formation energy = -2.70 eV/atom; DOS at the Fermi energy = 0.00 states/eV/atom; energy = -6.6809 eV per atom
1.0
5.265 0.000 0.000
0.000 3.094 0.000
-1.863 0.000 5.013
Li Tm Al O
2 1 1 4
Cartesian
0.000 0.000 0.000
-0.932 1.547 2.506
1.701 0.000 2.506
2.633 1.547 0.000
-0.003 0.000 3.908
1.040 1.547 1.113
2.363 1.547 3.899
3.405 0.000 1.105